# 1
## TeAsPdBr2 (GGA-PBE)

Data for an optimized crystal structure of TeAsPdBr2.

Properties
Offset from the most stable computed form, eV per atom: 0.0000
Magnetization, μB per formula unit: 0.0
ΔE_f (raw), meV per atom: 277.1
VASP energy, eV per atom: -2.989

a = 5.0420 Å, b = 5.0420 Å, c = 5.0849 Å
α = 90.00°, β = 90.00°, γ = 90.00°
With the nearest neighbours (Å) after each atom.
Sites, in units of the cell vectors:
Te 0.0000 0.0000 0.0000  4 As 3.57, 8 Br 3.58
As 0.5000 0.5000 0.0000  2 Pd 2.54
Pd 0.5000 0.5000 0.5000  4 Br 2.52, 2 As 2.54
Br 0.0000 0.5000 0.5000  2 Pd 2.52
Br 0.5000 0.0000 0.5000  2 Pd 2.52

# 2
## TeAs2PdBr (GGA-PBE)

Data for an optimized crystal structure of TeAs2PdBr.

Properties
Offset from the most stable computed form, eV per atom: 0.0000
Magnetization, μB per formula unit: 0.0
ΔE_f (raw), meV per atom: 402.5
VASP energy, eV per atom: -3.459

a = 4.9847 Å, b = 4.9847 Å, c = 4.9881 Å
α = 90.00°, β = 90.00°, γ = 90.00°
With the nearest neighbours (Å) after each atom.
Sites, in units of the cell vectors:
Te 0.0000 0.0000 0.0000  4 Br 3.52, 8 As 3.53
As 0.0000 0.5000 0.5000  2 Pd 2.49
As 0.5000 0.0000 0.5000  2 Pd 2.49
Pd 0.5000 0.5000 0.5000  4 As 2.49, 2 Br 2.49
Br 0.5000 0.5000 0.0000  2 Pd 2.49